SiP2RuN | PBE | relaxed

Calculated values
The uncorrected formation energy comes out at -0.19 eV/atom. Its raw total energy is -69.56 eV/cell.

a b c (Å): 8.4614 2.8996 5.5499
angles (deg): 90.00 102.68 90.00
Sites, in units of the cell vectors:
Si (0.0000, 0.0000, 0.0000)
Si (0.5000, 0.5000, 0.0000)
P (0.1597, 0.5000, 0.7161)
P (0.3432, 0.5000, 0.2888)
P (0.6597, 0.0000, 0.7161)
P (0.8432, 0.0000, 0.2888)
Ru (0.3656, 0.0000, 0.6417)
Ru (0.8656, 0.5000, 0.6417)
N (0.1566, 0.5000, 0.0677)
N (0.6566, 0.0000, 0.0677)

Nd4TlNi | PBE | relaxed

Calculated values
Its raw total energy is -55.57 eV/cell. The value obtained for the energy of formation from the pure elements is -0.094 eV per atom.

a b c (Å): 7.3231 7.6390 6.9763
angles (deg): 90.00 95.38 90.00
Sites, in units of the cell vectors:
Nd (0.1428, 0.1718, 0.1860)
Nd (0.1428, 0.3282, 0.6860)
Nd (0.3220, 0.6398, 0.0892)
Nd (0.3220, 0.8602, 0.5892)
Nd (0.6780, 0.1398, 0.4108)
Nd (0.6780, 0.3602, 0.9108)
Nd (0.8572, 0.6718, 0.3140)
Nd (0.8572, 0.8282, 0.8140)
Tl (0.5000, 0.0000, 0.0000)
Tl (0.5000, 0.5000, 0.5000)
Ni (0.0000, 0.0000, 0.5000)
Ni (0.0000, 0.5000, 0.0000)

ZrPb2W | PBE | relaxed

Calculated values
Its raw total energy is -53.62 eV/cell. The value obtained for the energy of formation from the pure elements is 0.527 eV per atom.

a b c (Å): 10.8855 3.4759 5.1588
angles (deg): 90.00 111.51 90.00
Sites, in units of the cell vectors:
Zr (0.0000, 0.0000, 0.0000)
Zr (0.5000, 0.5000, 0.0000)
Pb (0.2343, 0.0000, 0.7958)
Pb (0.4564, 0.0000, 0.4568)
Pb (0.7343, 0.5000, 0.7958)
Pb (0.9564, 0.5000, 0.4568)
W (0.2072, 0.5000, 0.2737)
W (0.7072, 0.0000, 0.2737)

AcLa3Nd2As6 | PBE | relaxed

Calculated values
Its raw total energy is -74.66 eV/cell. The value obtained for the energy of formation from the pure elements is -1.528 eV per atom.

a b c (Å): 7.5769 7.5769 7.5719
angles (deg): 99.61 99.61 120.00
Sites, in units of the cell vectors:
Ac (0.0000, 0.0000, 0.0000)
La (0.1657, 0.8343, 0.5000)
La (0.5000, 0.5000, 0.5000)
La (0.8343, 0.1657, 0.5000)
Nd (0.3329, 0.6671, 0.0000)
Nd (0.6671, 0.3329, 0.0000)
As (0.0837, 0.4249, 0.2507)
As (0.2579, 0.2579, 0.7499)
As (0.4249, 0.0837, 0.2507)
As (0.5751, 0.9163, 0.7493)
As (0.7421, 0.7421, 0.2501)
As (0.9163, 0.5751, 0.7493)

MgRu2Br | PBE | relaxed

Calculated values
The uncorrected formation energy comes out at 0.69 eV/atom. Its raw total energy is -38.15 eV/cell.

a b c (Å): 3.7017 3.7017 10.0325
angles (deg): 90.00 90.00 90.00
Sites, in units of the cell vectors:
Mg (0.0000, 0.0000, 0.0000)
Mg (0.5000, 0.5000, 0.5000)
Ru (0.0000, 0.5000, 0.2500)
Ru (0.0000, 0.5000, 0.7500)
Ru (0.5000, 0.0000, 0.2500)
Ru (0.5000, 0.0000, 0.7500)
Br (0.0000, 0.0000, 0.5000)
Br (0.5000, 0.5000, 0.0000)